Below is a PBEsol-optimized structure of HfAsSeBr2, with properties calculated at the SCAN level.

abc: 5.021 5.021 5.125
angles: 90.00 90.00 90.00
Space group P4/mmm (No. 123)
Asymmetric unit:
Hf1 0.000 0.000 0.000 [1 per cell]
As1 0.500 0.500 0.000 [1 per cell]
Se1 0.500 0.500 0.500 [1 per cell]
Br1 0.000 0.500 0.500 [2 per cell]

Results
VASP energy   -137.76 eV for the cell shown
Formation energy (no corrections)   820.8 meV/atom